Entry 1:
DFT (PBE) results for crystalline La3Tb4Hg at its relaxed geometry.

```
La3Tb4Hg
1.0
3.6683 0.0000 0.0000
0.0000 3.6683 0.0000
0.0000 0.0000 19.2057
La Tb Hg
3 4 1
Direct
0.0000 0.0000 0.0000
0.0000 0.0000 0.2666
0.0000 0.0000 0.7334
0.5000 0.5000 0.1330
0.5000 0.5000 0.3990
0.5000 0.5000 0.6010
0.5000 0.5000 0.8670
0.0000 0.0000 0.5000
```

As for the formation energy: -0.10 eV/atom. The density of states at the Fermi level comes out at 1.54 states/eV/atom. Its space group is No. 123. As for the total magnetization: 0.0 μB per cell.


Entry 2:
DFT (PBE) results for crystalline Ba2LiIrI at its relaxed geometry.

```
Ba2LiIrI
1.0
6.0421 0.0000 0.0000
0.0000 6.0421 0.0000
0.0000 0.0000 4.9177
Ba Li Ir I
2 1 1 1
Direct
0.0000 0.5000 0.0000
0.5000 0.0000 0.0000
0.0000 0.0000 0.5000
0.0000 0.0000 0.0000
0.5000 0.5000 0.5000
```

The density of states at the Fermi level comes out at 0.57 states/eV/atom. The formation energy (no corrections) is -0.489 eV/atom. Its space group is No. 123. As for the total magnetization: 0.0 μB per cell.


Entry 3:
DFT (PBE) results for crystalline Zr5PdRh at its relaxed geometry.

```
Zr5PdRh
1.0
5.1291 -2.9478 0.0000
5.1291 2.9478 0.0000
-3.7641 0.0000 9.9187
Zr Pd Rh
10 2 2
Direct
0.1318 0.3249 0.7109
0.1317 0.8683 0.7500
0.1710 0.6763 0.0028
0.3237 0.8290 0.4972
0.3249 0.1318 0.2109
0.6751 0.8682 0.7891
0.6763 0.1710 0.5028
0.8290 0.3237 0.9972
0.8683 0.1317 0.2500
0.8682 0.6751 0.2891
0.3965 0.6035 0.2500
0.6035 0.3965 0.7500
0.0000 0.5000 0.5000
0.5000 0.0000 0.0000
```

As for the formation energy: -0.17 eV/atom. The density of states at the Fermi level comes out at 0.83 states/eV/atom. Its space group is No. 15. As for the total magnetization: 0.0 μB per cell.


Entry 4:
DFT (PBE) results for crystalline Pm2NiAgC at its relaxed geometry.

```
Pm2NiAgC
1.0
5.2216 0.0000 0.0000
0.0000 5.2216 0.0000
0.0000 0.0000 3.6768
Pm Ni Ag C
2 1 1 1
Direct
0.0000 0.5000 0.0000
0.5000 0.0000 0.0000
0.0000 0.0000 0.5000
0.5000 0.5000 0.5000
0.0000 0.0000 0.0000
```

As for the formation energy: -0.28 eV/atom. The density of states at the Fermi level comes out at 0.58 states/eV/atom. Its space group is No. 123. As for the total magnetization: 0.0 μB per cell.


Entry 5:
DFT (PBE) results for crystalline BaTc2Au at its relaxed geometry.

```
BaTc2Au
1.0
3.2176 0.0000 0.0000
0.0000 3.2174 0.0000
-0.0207 0.0000 8.2186
Ba Tc Au
1 2 1
Direct
0.0000 0.0000 0.0000
0.0020 0.0000 0.4670
0.5009 0.5000 0.3243
0.5010 0.5000 0.6923
```

As for the formation energy: 0.31 eV/atom. The density of states at the Fermi level comes out at 0.82 states/eV/atom. Its space group is No. 6. As for the total magnetization: 0.0 μB per cell. As for the energy above the most stable polymorph in this dataset: 1.50 kcal/mol of atoms.


Entry 6:
DFT (PBE) results for crystalline KZrSc2Pd at its relaxed geometry.

```
KZrSc2Pd
1.0
4.7188 0.0000 0.0000
0.0000 4.7188 0.0000
0.0000 0.0000 4.9236
K Zr Sc Pd
1 1 2 1
Direct
0.0000 0.0000 0.0000
0.0000 0.0000 0.5000
0.0000 0.5000 0.0000
0.5000 0.0000 0.0000
0.5000 0.5000 0.5000
```

As for the formation energy: 1.52 eV/atom. The density of states at the Fermi level comes out at 1.23 states/eV/atom. Its space group is No. 123. As for the total magnetization: 0.3 μB per cell.


Entry 7:
DFT (PBE) results for crystalline Cs2SeBr at its relaxed geometry.

```
Cs2SeBr
1.0
0.0000 4.4043 4.4043
4.4043 0.0000 4.4043
4.4043 4.4043 0.0000
Cs Se Br
2 1 1
Direct
0.2500 0.2500 0.2500
0.7500 0.7500 0.7500
0.0000 0.0000 0.0000
0.5000 0.5000 0.5000
```

The density of states at the Fermi level comes out at 4.74 states/eV/atom. The formation energy (no corrections) is -1.081 eV/atom. Its space group is No. 225. As for the total magnetization: 1.0 μB per cell. As for the energy above the most stable polymorph in this dataset: 5.33 kcal/mol of atoms.


Entry 8:
DFT (PBE) results for crystalline BaCa2In2Ag2 at its relaxed geometry.

```
BaCa2In2Ag2
1.0
2.4816 1.4327 10.3329
-2.4816 1.4327 10.3329
0.0000 -2.8655 10.3329
Ba Ca In Ag
1 2 2 2
Direct
0.0000 0.0000 0.0000
0.1293 0.1293 0.1293
0.8707 0.8707 0.8707
0.2520 0.2520 0.2520
0.7480 0.7480 0.7480
0.4132 0.4132 0.4132
0.5868 0.5868 0.5868
```

As for the formation energy: -0.31 eV/atom. The density of states at the Fermi level comes out at 1.24 states/eV/atom. Its space group is No. 166. As for the total magnetization: 0.0 μB per cell.


Entry 9:
DFT (PBE) results for crystalline Tb2Co2Tc at its relaxed geometry.

```
Tb2Co2Tc
1.0
4.6337 -2.7411 0.0000
4.6337 2.7411 0.0000
-1.5529 0.0000 7.3095
Tb Co Tc
4 4 2
Direct
0.0297 0.2710 0.1528
0.2710 0.0297 0.6528
0.7290 0.9703 0.3472
0.9703 0.7290 0.8472
0.2489 0.4962 0.4971
0.4962 0.2489 0.9971
0.5038 0.7511 0.0029
0.7511 0.5038 0.5029
0.3815 0.6185 0.2500
0.6185 0.3815 0.7500
```

As for the formation energy: -0.15 eV/atom. The density of states at the Fermi level comes out at 1.14 states/eV/atom. Its space group is No. 15. As for the total magnetization: 0.0 μB per cell.


Entry 10:
DFT (PBE) results for crystalline MnBe2Hg at its relaxed geometry.

```
MnBe2Hg
1.0
3.9616 -1.3797 0.0000
3.9616 1.3797 0.0000
-0.7178 0.0000 4.8587
Mn Be Hg
1 2 1
Direct
0.0000 0.0000 0.0000
0.2606 0.2606 0.8278
0.7394 0.7394 0.1722
0.5000 0.5000 0.5000
```

As for the formation energy: 0.40 eV/atom. The density of states at the Fermi level comes out at 0.62 states/eV/atom. Its space group is No. 12. As for the total magnetization: 2.4 μB per cell.


Entry 11:
DFT (PBE) results for crystalline Ce7Ru2Pt2 at its relaxed geometry.

```
Ce7Ru2Pt2
1.0
3.5223 -4.7925 0.0000
3.5223 4.7925 0.0000
-3.0500 0.0000 7.4960
Ce Ru Pt
7 2 2
Direct
0.0000 0.0000 0.0000
0.1329 0.5096 0.8514
0.2123 0.2123 0.4657
0.4904 0.8671 0.1486
0.5096 0.1329 0.8514
0.7877 0.7877 0.5343
0.8671 0.4904 0.1486
0.3683 0.3683 0.2068
0.6317 0.6317 0.7932
0.2691 0.7309 0.5000
0.7309 0.2691 0.5000
```

As for the formation energy: -0.50 eV/atom. The density of states at the Fermi level comes out at 1.96 states/eV/atom. Its space group is No. 12. As for the total magnetization: 0.0 μB per cell.


Entry 12:
DFT (PBE) results for crystalline Ce2DySi at its relaxed geometry.

```
Ce2DySi
1.0
3.8707 0.0000 0.0000
0.0000 3.8707 0.0000
0.0000 0.0000 7.0538
Ce Dy Si
2 1 1
Direct
0.0000 0.0000 0.1910
0.0000 0.0000 0.8090
0.5000 0.5000 0.5000
0.5000 0.5000 0.0000
```

The density of states at the Fermi level comes out at 2.19 states/eV/atom. The formation energy (no corrections) is -0.269 eV/atom. Its space group is No. 123. As for the total magnetization: 0.0 μB per cell. As for the energy above the most stable polymorph in this dataset: 0.93 kcal/mol of atoms.


Entry 13:
DFT (PBE) results for crystalline K2BaCr at its relaxed geometry.

```
K2BaCr
1.0
-2.1686 3.0969 7.5899
2.1686 -3.0969 7.5899
2.1686 3.0969 -7.5899
K Ba Cr
2 1 1
Direct
0.1965 0.1965 0.0000
0.8035 0.8035 0.0000
0.5000 0.0000 0.5000
0.0000 0.5000 0.5000
```

As for the formation energy: 0.59 eV/atom. The density of states at the Fermi level comes out at 0.98 states/eV/atom. Its space group is No. 71. As for the total magnetization: 5.1 μB per cell. As for the energy above the most stable polymorph in this dataset: 1.23 kcal/mol of atoms.


Entry 14:
DFT (PBE) results for crystalline NiP2Cl at its relaxed geometry.

```
NiP2Cl
1.0
-1.3997 2.1897 5.0119
1.3997 -2.1897 5.0119
1.3997 2.1897 -5.0119
Ni P Cl
1 2 1
Direct
0.0000 0.0000 0.0000
0.1943 0.6943 0.5000
0.8057 0.3057 0.5000
0.5000 0.5000 0.0000
```

The density of states at the Fermi level comes out at 0.89 states/eV/atom. The formation energy (no corrections) is 0.388 eV/atom. Its space group is No. 71. As for the total magnetization: 0.0 μB per cell. As for the energy above the most stable polymorph in this dataset: 13.87 kcal/mol of atoms.


Entry 15:
DFT (PBE) results for crystalline HfHgRu2 at its relaxed geometry.

```
HfHgRu2
1.0
-2.0579 2.0579 9.1700
2.0579 -2.0579 9.1700
2.0579 2.0579 -9.1700
Hf Hg Ru
2 2 4
Direct
0.0000 0.0000 0.0000
0.7500 0.2500 0.5000
0.2500 0.7500 0.5000
0.5000 0.5000 0.0000
0.0558 0.6250 0.9308
0.3750 0.3058 0.4308
0.6942 0.1250 0.0692
0.8750 0.9442 0.5692
```

As for the formation energy: 0.49 eV/atom. The density of states at the Fermi level comes out at 1.25 states/eV/atom. Its space group is No. 122. As for the total magnetization: 0.0 μB per cell.


Entry 16:
DFT (PBE) results for crystalline La2Nd6HoTm at its relaxed geometry.

```
La2Nd6HoTm
1.0
4.5994 -7.6460 0.0000
4.5994 7.6460 0.0000
-1.7889 0.0000 9.9314
La Nd Ho Tm
4 12 2 2
Direct
0.1942 0.2920 0.0412
0.2920 0.1942 0.5412
0.7080 0.8058 0.4588
0.8058 0.7080 0.9588
0.0177 0.5818 0.1898
0.1239 0.7440 0.5560
0.2560 0.8761 0.9440
0.2944 0.4976 0.3788
0.4182 0.9823 0.3102
0.4976 0.2944 0.8788
0.5024 0.7056 0.1212
0.5818 0.0177 0.6898
0.7056 0.5024 0.6212
0.7440 0.1239 0.0560
0.8761 0.2560 0.4440
0.9823 0.4182 0.8102
0.0129 0.9871 0.2500
0.9871 0.0129 0.7500
0.4051 0.5949 0.7500
0.5949 0.4051 0.2500
```

As for the formation energy: 0.11 eV/atom. The density of states at the Fermi level comes out at 1.53 states/eV/atom. Its space group is No. 15. As for the total magnetization: 0.0 μB per cell.


Entry 17:
DFT (PBE) results for crystalline CsYCo2Ag at its relaxed geometry.

```
CsYCo2Ag
1.0
4.7025 0.0000 0.0000
0.0000 4.7025 0.0000
0.0000 0.0000 5.5537
Cs Y Co Ag
1 1 2 1
Direct
0.0000 0.0000 0.0000
0.0000 0.0000 0.5000
0.0000 0.5000 0.0000
0.5000 0.0000 0.0000
0.5000 0.5000 0.5000
```

As for the formation energy: 1.90 eV/atom. The density of states at the Fermi level comes out at 0.75 states/eV/atom. Its space group is No. 123. As for the total magnetization: 1.2 μB per cell.


Entry 18:
DFT (PBE) results for crystalline Sm2TaNi3Ge4 at its relaxed geometry.

```
Sm2TaNi3Ge4
1.0
4.1091 0.0000 0.0000
0.0000 4.1091 0.0000
0.0000 0.0000 10.3968
Sm Ta Ni Ge
2 1 3 4
Direct
0.0000 0.5000 0.2322
0.5000 0.0000 0.7678
0.0000 0.0000 0.5000
0.0000 0.5000 0.8815
0.5000 0.0000 0.1185
0.5000 0.5000 0.5000
0.0000 0.0000 0.0000
0.0000 0.5000 0.6517
0.5000 0.0000 0.3483
0.5000 0.5000 0.0000
```

As for the formation energy: -0.61 eV/atom. The density of states at the Fermi level comes out at 0.49 states/eV/atom. Its space group is No. 115. As for the total magnetization: 0.0 μB per cell.


Entry 19:
DFT (PBE) results for crystalline Sc2GaMo2 at its relaxed geometry.

```
Sc2GaMo2
1.0
-1.7560 1.7560 8.4980
1.7560 -1.7560 8.4980
1.7560 1.7560 -8.4980
Sc Ga Mo
2 1 2
Direct
0.1040 0.1040 0.0000
0.8960 0.8960 0.0000
0.5000 0.5000 0.0000
0.2500 0.7500 0.5000
0.7500 0.2500 0.5000
```

As for the formation energy: 0.23 eV/atom. The density of states at the Fermi level comes out at 1.88 states/eV/atom. Its space group is No. 139. As for the total magnetization: 0.0 μB per cell. As for the energy above the most stable polymorph in this dataset: 5.79 kcal/mol of atoms.


Entry 20:
DFT (PBE) results for crystalline Dy2In2S7 at its relaxed geometry.

```
Dy2In2S7
1.0
4.0210 -6.0432 0.0000
4.0210 6.0432 0.0000
-2.8901 0.0000 6.3332
Dy In S
2 2 7
Direct
0.1827 0.8173 0.0000
0.8173 0.1827 0.0000
0.2594 0.2594 0.6522
0.7406 0.7406 0.3478
0.0452 0.3996 0.7878
0.1697 0.1697 0.2558
0.3996 0.0452 0.7878
0.5000 0.5000 0.5000
0.6004 0.9548 0.2122
0.8303 0.8303 0.7442
0.9548 0.6004 0.2122
```

The density of states at the Fermi level comes out at 0.00 states/eV/atom. The formation energy (no corrections) is -1.005 eV/atom. Its space group is No. 12. As for the total magnetization: 0.0 μB per cell.